A relaxed structure of VCuS2N. Source: the Alexandria database, functional PBE.

Values from the calculation:
* DOS(E_F): 9.8 states/eV/cell
* excess energy over the best structure of this formula in the dataset: 766 meV per atom
* formation energy from raw total energies: 1.024 eV per atom

a = 4.576 Å, b = 4.576 Å, c = 3.515 Å
α = 90.00°, β = 90.00°, γ = 90.00°
Fractional positions:
V (0.000, 0.000, 0.000)
Cu (0.500, 0.500, 0.500)
S (0.000, 0.500, 0.500)
S (0.500, 0.000, 0.500)
N (0.500, 0.500, 0.000)

***

A relaxed structure of VCuSN2. Source: the Alexandria database, functional PBE.

Values from the calculation:
* DOS(E_F): 2.7 states/eV/cell
* excess energy over the best structure of this formula in the dataset: 0 meV per atom
* formation energy from raw total energies: 0.404 eV per atom

a = 3.654 Å, b = 3.654 Å, c = 5.182 Å
α = 90.00°, β = 90.00°, γ = 90.00°
Fractional positions:
V (0.000, 0.000, 0.000)
Cu (0.500, 0.500, 0.500)
S (0.000, 0.000, 0.500)
N (0.000, 0.500, 0.000)
N (0.500, 0.000, 0.000)

***

A relaxed structure of YCuS2N. Source: the Alexandria database, functional PBE.

Values from the calculation:
* DOS(E_F): 3.2 states/eV/cell
* excess energy over the best structure of this formula in the dataset: 0 meV per atom
* formation energy from raw total energies: -0.182 eV per atom

a = 4.653 Å, b = 4.653 Å, c = 3.748 Å
α = 90.00°, β = 90.00°, γ = 90.00°
Fractional positions:
Y (0.000, 0.000, 0.000)
Cu (0.500, 0.500, 0.500)
S (0.000, 0.500, 0.500)
S (0.500, 0.000, 0.500)
N (0.500, 0.500, 0.000)

***

Copy entry 2 word for word.
A relaxed structure of VCuSN2. Source: the Alexandria database, functional PBE.

Values from the calculation:
* DOS(E_F): 2.7 states/eV/cell
* excess energy over the best structure of this formula in the dataset: 0 meV per atom
* formation energy from raw total energies: 0.404 eV per atom

a = 3.654 Å, b = 3.654 Å, c = 5.182 Å
α = 90.00°, β = 90.00°, γ = 90.00°
Fractional positions:
V (0.000, 0.000, 0.000)
Cu (0.500, 0.500, 0.500)
S (0.000, 0.000, 0.500)
N (0.000, 0.500, 0.000)
N (0.500, 0.000, 0.000)